# 1
The following is a DFT calculation (GGA-PBE) of a relaxed NiBHW2 crystal.

Values from the calculation:
Raw total energy = -7.77 eV per atom

a = 4.4603 Å, b = 2.7547 Å, c = 4.4603 Å
α = 90.00°, β = 90.00°, γ = 90.00°
Element x y z (fractional)
1 B 0.0000 0.0000 0.0000
2 W 0.0000 0.0000 0.5000
3 W 0.5000 0.0000 0.0000
4 Ni 0.5000 0.5000 0.5000
5 H 0.0000 0.5000 0.0000

# 2
The following is a DFT calculation (GGA-PBE) of a relaxed ZrNi6BH crystal.

Values from the calculation:
Raw total energy = -5.99 eV per atom

a = 6.6664 Å, b = 6.5721 Å, c = 6.6497 Å
α = 119.61°, β = 120.08°, γ = 90.00°
Element x y z (fractional)
1 Ni 0.7924 0.0424 0.5849
2 Ni 0.2076 0.9576 0.4151
3 Ni 0.1516 0.9266 0.7538
4 Ni 0.3897 0.6397 0.7795
5 Ni 0.1516 0.3272 0.7538
6 Ni 0.3978 0.6728 0.2462
7 Ni 0.6022 0.9266 0.7538
8 Ni 0.6022 0.3272 0.7538
9 Ni 0.8484 0.0734 0.2462
10 Ni 0.6103 0.3603 0.2205
11 Ni 0.3978 0.0734 0.2462
12 Ni 0.8484 0.6728 0.2462
13 Zr 0.0845 0.3345 0.1690
14 Zr 0.9155 0.6655 0.8310
15 B 0.5000 0.0000 0.0000
16 B 0.5000 0.5000 0.0000
17 H 0.0000 0.0000 0.5000
18 H 0.5000 0.0000 0.5000

# 3
The following is a DFT calculation (GGA-PBE) of a relaxed NpBH2 crystal.

Values from the calculation:
Raw total energy = -5.90 eV per atom

a = 2.8545 Å, b = 2.8545 Å, c = 5.0550 Å
α = 73.60°, β = 73.60°, γ = 60.00°
Site moments in Bohr magnetons follow the coordinates.
Element x y z (fractional)
1 H 0.1439 0.1439 0.5682  0.00
2 H 0.8561 0.8561 0.4318  0.00
3 Np 0.0000 0.0000 0.0000  2.57
4 B 0.5000 0.5000 0.5000  -0.06

# 4
The following is a DFT calculation (GGA-PBE) of a relaxed NpB2H6 crystal.

Values from the calculation:
Excess energy over the best structure of this formula in the dataset = 1.194 eV per atom

a = 4.3387 Å, b = 4.3387 Å, c = 4.3387 Å
α = 60.00°, β = 60.00°, γ = 60.00°
Site moments in Bohr magnetons follow the coordinates.
Element x y z (fractional)
1 B 0.2500 0.2500 0.2500  0.04
2 B 0.7500 0.7500 0.7500  0.04
3 H 0.3238 0.6762 0.3238  0.03
4 H 0.3238 0.6762 0.6762  0.03
5 H 0.6762 0.3238 0.3238  0.03
6 H 0.6762 0.6762 0.3238  0.03
7 H 0.3238 0.3238 0.6762  0.03
8 H 0.6762 0.3238 0.6762  0.03
9 Np 0.0000 0.0000 0.0000  2.76

# 5
The following is a DFT calculation (GGA-PBE) of a relaxed NpBH crystal.

Values from the calculation:
Excess energy over the best structure of this formula in the dataset = 0.413 eV per atom

a = 3.8322 Å, b = 3.8322 Å, c = 3.8322 Å
α = 60.00°, β = 60.00°, γ = 60.00°
Site moments in Bohr magnetons follow the coordinates.
Element x y z (fractional)
1 Np 0.2500 0.2500 0.2500  1.42
2 H 0.5000 0.5000 0.5000  -0.01
3 B 0.0000 0.0000 0.0000  -0.12

# 6
The following is a DFT calculation (GGA-PBE) of a relaxed NpBH crystal.

Values from the calculation:
Excess energy over the best structure of this formula in the dataset = 0.000 eV per atom

a = 3.8336 Å, b = 3.6575 Å, c = 5.8348 Å
α = 90.00°, β = 90.00°, γ = 121.61°
Site moments in Bohr magnetons follow the coordinates.
Element x y z (fractional)
1 B 0.3393 0.6785 0.7500  -0.12
2 B 0.6607 0.3215 0.2500  -0.12
3 Np 0.0000 0.0000 0.5000  3.25
4 Np 0.0000 0.0000 0.0000  3.25
5 H 0.4491 0.8981 0.2500  -0.01
6 H 0.5509 0.1019 0.7500  -0.01

# 7
The following is a DFT calculation (GGA-PBE) of a relaxed NpB2H6 crystal.

Values from the calculation:
Excess energy over the best structure of this formula in the dataset = 0.000 eV per atom

a = 5.7671 Å, b = 5.6162 Å, c = 5.6162 Å
α = 73.99°, β = 59.11°, γ = 59.11°
Site moments in Bohr magnetons follow the coordinates.
Element x y z (fractional)
1 B 0.2789 0.7084 0.7916  -0.05
2 B 0.7789 0.7916 0.7084  -0.05
3 B 0.2211 0.2084 0.2916  -0.05
4 B 0.7211 0.2916 0.2084  -0.05
5 H 0.2112 0.7983 0.0082  0.00
6 H 0.7888 0.2017 0.9918  0.00
7 H 0.7527 0.6104 0.8896  -0.01
8 H 0.2473 0.3896 0.1104  -0.01
9 H 0.7473 0.1104 0.3896  -0.01
10 H 0.5177 0.4918 0.7017  0.00
11 H 0.7112 0.0082 0.7983  0.00
12 H 0.9823 0.2983 0.5082  0.00
13 H 0.0177 0.7017 0.4918  0.00
14 H 0.4823 0.5082 0.2983  0.00
15 H 0.2527 0.8896 0.6104  -0.01
16 H 0.2888 0.9918 0.2017  0.00
17 Np 0.2500 0.2500 0.7500  3.51
18 Np 0.7500 0.7500 0.2500  3.51

# 8
The following is a DFT calculation (GGA-PBE) of a relaxed NpBH crystal.

Values from the calculation:
Excess energy over the best structure of this formula in the dataset = 0.110 eV per atom

a = 2.7273 Å, b = 3.7403 Å, c = 3.7403 Å
α = 120.00°, β = 90.00°, γ = 90.00°
Site moments in Bohr magnetons follow the coordinates.
Element x y z (fractional)
1 H 0.1667 0.6667 0.3333  -0.01
2 Np 0.1667 0.0000 0.0000  2.28
3 B 0.6667 0.3333 0.6667  -0.11